--- w ---
First-principles (GGA-PBE) data for a relaxed CoTcB3 crystal, as listed in Alexandria.

Structure (extended XYZ):
```
5
Lattice="3.667 0.000 0.000 0.000 3.667 0.000 0.000 0.000 3.667" Properties=species:S:1:pos:R:3 pbc="T T T"
Tc 1.833 1.833 1.833
B 1.833 0.000 0.000
B 0.000 1.833 0.000
B 0.000 0.000 1.833
Co 0.000 0.000 0.000
```

Computed properties:
As for the space group: Pm-3m (221).

---

--- x ---
First-principles (GGA-PBE) data for a relaxed CoTcB3 crystal, as listed in Alexandria.

Structure (extended XYZ):
```
5
Lattice="4.013 0.000 0.000 0.000 4.013 0.000 0.000 0.000 4.013" Properties=species:S:1:pos:R:3 pbc="T T T"
B 2.007 0.000 0.000
Co 2.007 2.007 2.007
B 0.000 0.000 2.007
B 0.000 2.007 0.000
Tc 0.000 0.000 0.000
```

Computed properties:
As for the space group: Pm-3m (221).

---

Which structure is the least stable? The one labeled x.

---

--- w ---
First-principles (GGA-PBE) data for a relaxed ThCo3B3 crystal, as listed in Alexandria.

Structure (extended XYZ):
```
14
Lattice="-1.586 -2.719 -1.874 3.162 -4.854 4.366 -7.041 3.450 0.954" Properties=species:S:1:pos:R:3 pbc="T T T"
Co -2.277 -2.460 0.125
B -4.898 -0.778 3.484
Co -3.408 -4.097 3.457
Co -3.188 -1.663 3.320
Th -0.293 -2.955 2.744
Th -5.172 -1.169 0.701
B -5.392 1.739 0.250
B -3.208 -3.036 1.748
Co -5.481 -2.679 3.154
B -0.073 -5.862 3.195
B -0.567 -3.346 -0.038
Co -2.057 -0.027 -0.011
B -2.257 -1.088 1.698
Co 0.016 -1.444 0.292
```

Computed properties:
As for the space group: P2_1/m (11).

---

--- x ---
First-principles (GGA-PBE) data for a relaxed ThCo3B3 crystal, as listed in Alexandria.

Structure (extended XYZ):
```
14
Lattice="-5.205 -1.925 -0.008 1.654 -4.484 2.821 -0.984 2.643 4.780" Properties=species:S:1:pos:R:3 pbc="T T T"
Co -1.794 0.840 2.388
B -3.077 -3.686 1.404
Co -4.396 -0.122 2.384
Co -1.362 -4.326 2.112
B 0.748 -2.042 4.505
B -3.341 1.020 3.581
B -0.079 0.200 3.095
Th -2.268 -1.883 3.796
Th 0.000 0.000 0.000
Co 0.089 -0.260 4.995
Co 0.581 -1.581 2.605
Co -2.189 -2.084 0.701
B -0.474 -2.723 1.408
B -2.849 -0.302 1.191
```

Computed properties:
As for the space group: Pm-3n (223).

---

Which structure is the least stable? The one labeled x.

---

--- w ---
First-principles (GGA-PBE) data for a relaxed ThCoB2 crystal, as listed in Alexandria.

Structure (extended XYZ):
```
4
Lattice="3.472 0.000 0.000 1.736 3.007 0.000 1.736 1.002 4.967" Properties=species:S:1:pos:R:3 pbc="T T T"
B 1.736 1.002 2.132
Co 3.472 2.005 2.483
Th 0.000 0.000 0.000
B 5.209 3.007 2.834
```

Computed properties:
As for the space group: R-3m (166).

---

--- x ---
First-principles (GGA-PBE) data for a relaxed ThCoB2 crystal, as listed in Alexandria.

Structure (extended XYZ):
```
16
Lattice="-1.245 2.924 -0.810 -3.882 -2.631 -3.528 -6.813 -0.683 8.006" Properties=species:S:1:pos:R:3 pbc="T T T"
Th -8.732 -1.818 3.539
Co -8.350 -0.585 0.764
Th -5.866 0.041 -0.794
Th -6.074 -0.431 4.461
Co -3.097 -0.876 -1.722
B -5.007 -0.725 1.761
Co -8.843 0.486 5.389
Co -3.590 0.195 2.903
Th -3.208 1.428 0.128
B -4.375 -1.782 -3.028
B -6.623 -1.502 1.441
B -7.818 -0.501 6.890
B -4.122 0.111 -3.223
B -6.933 0.335 1.906
B -7.566 1.392 6.695
B -5.317 1.111 2.226
```

Computed properties:
As for the space group: Pnma (62).

---

Which structure is the least stable? The one labeled x.

---

--- w ---
First-principles (GGA-PBE) data for a relaxed ThCo6B4 crystal, as listed in Alexandria.

Structure (extended XYZ):
```
11
Lattice="5.262 1.373 2.798 -0.197 5.435 2.798 0.628 0.843 4.850" Properties=species:S:1:pos:R:3 pbc="T T T"
Co 3.816 1.829 6.254
Co 2.738 3.680 4.386
Co 4.591 4.209 6.698
Co 2.712 5.606 6.698
Co 0.656 4.180 6.254
Co 0.943 1.267 2.800
B 4.245 5.706 8.000
B 2.760 2.084 3.133
Th 0.294 0.394 0.566
B 1.203 3.242 3.133
B 2.601 3.496 6.363
```

Computed properties:
As for the space group: Cm (8).

---

--- x ---
First-principles (GGA-PBE) data for a relaxed ThCo6B4 crystal, as listed in Alexandria.

Structure (extended XYZ):
```
11
Lattice="-2.477 0.739 -2.162 1.658 -4.744 -3.521 -4.134 -0.791 4.465" Properties=species:S:1:pos:R:3 pbc="T T T"
Co -0.382 -4.798 -1.203
Co -1.046 -2.898 0.207
B -2.203 -2.108 1.803
Co -3.549 -3.080 0.386
Th 0.000 0.000 0.000
Co -4.198 -1.223 1.764
Co -2.579 -0.913 0.016
B -2.247 -3.760 -1.338
B -0.867 -3.496 -2.829
Co 0.609 -2.582 -1.581
B -1.420 -1.913 -1.654
```

Computed properties:
As for the space group: P-6m2 (187).

---

Which structure is the least stable? The one labeled w.